Below is crystalline SrMoW at its relaxed geometry, with properties calculated at the PBE level.

Cell lengths 4.618, 4.618, 4.618 Å; angles 60.00, 60.00, 60.00 degrees
Fractional positions:
W  0.750  0.750  0.750
Mo  0.000  0.000  0.000
Sr  0.250  0.250  0.250

Values from the calculation:
offset from the most stable computed form: 59 meV per atom
DFT total energy: -6.987 eV per atom
space-group type: F-43m, No. 216
magnetization: 0.0001 μB per atom

***

Below is crystalline RbHg2Bi2 at its relaxed geometry, with properties calculated at the PBE level.

Cell lengths 7.486, 7.486, 7.486 Å; angles 139.60, 139.60, 58.46 degrees
Fractional positions:
Bi  0.621  0.621  0.000
Bi  0.379  0.379  0.000
Hg  0.250  0.750  0.500
Hg  0.750  0.250  0.500
Rb  0.000  0.000  0.000

Values from the calculation:
DFT total energy: -2.059 eV per atom
space-group type: I4/mmm, No. 139

***

Below is crystalline FeAgB at its relaxed geometry, with properties calculated at the PBE level.

Cell lengths 3.916, 3.916, 3.916 Å; angles 60.00, 60.00, 60.00 degrees
Fractional positions:
Ag  0.250  0.250  0.250
Fe  0.000  0.000  0.000
B  0.750  0.750  0.750

Values from the calculation:
offset from the most stable computed form: 0 meV per atom
DFT total energy: -4.754 eV per atom
space-group type: F-43m, No. 216
magnetization: 0.7748 μB per atom

***

Below is crystalline GaCuTeS at its relaxed geometry, with properties calculated at the PBE level.

Cell lengths 6.953, 6.953, 6.953 Å; angles 131.62, 131.24, 71.13 degrees
Fractional positions:
S  0.494  0.750  0.244
S  0.006  0.250  0.256
Ga  0.365  0.615  0.750
Ga  0.135  0.885  0.250
Cu  0.848  0.098  0.750
Cu  0.652  0.402  0.250
Te  0.250  0.023  0.773
Te  0.750  0.477  0.727

Values from the calculation:
offset from the most stable computed form: 24 meV per atom
DFT total energy: -3.878 eV per atom
space-group type: I2_12_12_1, No. 24